[1]
Density functional theory data (PBE) for crystalline AcLa12Mg3 at its relaxed geometry.

Values from the calculation:
DFT formation energy: -0.225 kcal/mol of atoms
Fermi-level density of states: 26.45 states/eV per cell
Volume: 34.80 Å³ per atom
Crystal system: tetragonal

abc: 5.183 5.183 20.726
angles: 90.00 90.00 90.00
Fractional coordinates of all 16 atoms:
Mg: 0.000 0.000 0.500
Mg: 0.000 0.000 0.256
Mg: 0.000 0.000 0.744
La: 0.000 0.500 0.377
La: 0.500 0.500 0.744
La: 0.500 0.500 0.500
La: 0.000 0.500 0.623
La: 0.500 0.000 0.377
La: 0.000 0.500 0.131
La: 0.500 0.000 0.623
La: 0.500 0.500 0.000
La: 0.500 0.500 0.256
La: 0.500 0.000 0.131
La: 0.000 0.500 0.869
La: 0.500 0.000 0.869
Ac: 0.000 0.000 0.000

[2]
Density functional theory data (PBE) for crystalline Ac4LaMg at its relaxed geometry.

Values from the calculation:
DFT formation energy: 8.016 kcal/mol of atoms
Energy relative to the lowest polymorph listed for this composition: 362 meV/atom
Fermi-level density of states: 8.03 states/eV per cell
Volume: 44.12 Å³ per atom
Crystal system: cubic

abc: 7.207 7.207 7.207
angles: 60.00 60.00 60.00
Fractional coordinates of all 6 atoms:
La: 0.000 0.000 0.000
Mg: 0.250 0.250 0.250
Ac: 0.625 0.126 0.625
Ac: 0.625 0.625 0.625
Ac: 0.126 0.625 0.625
Ac: 0.625 0.625 0.126

Q: Which of these has the lowest Fermi-level density of states?
A: Ac4LaMg

Q: The highest DFT formation energy belongs to which entry?
A: Ac4LaMg

Q: The lowest Fermi-level density of states belongs to which entry?
A: Ac4LaMg